Np2ZnNi3As4 | GGA-PBE | optimized geometry

```
Np2ZnNi3As4
1.0
-1.165 -2.620 3.090
2.558 -2.969 -1.554
7.103 3.267 5.449
Ni As Np Zn
3 4 2 1
direct
0.000 0.000 0.500
0.500 0.000 0.887
0.000 0.500 0.113
0.500 0.500 0.000
0.000 0.000 0.000
0.000 0.500 0.356
0.500 0.000 0.644
0.000 0.500 0.759
0.500 0.000 0.241
0.500 0.500 0.500
```

Values from the calculation:
spin magnetization: 8.04 μB per formula unit
Fermi-level density of states: 20.9 states/eV/cell

=====

GaCo3P | GGA-PBE | optimized geometry

```
GaCo3P
1.0
-0.043 -1.671 3.737
2.250 -3.132 -1.375
3.420 2.039 0.952
Ga P Co
1 1 3
direct
0.500 0.500 0.500
0.000 0.000 0.000
0.000 0.000 0.500
0.000 0.500 0.000
0.500 0.000 0.000
```

Values from the calculation:
spin magnetization: 1.83 μB per formula unit
polymorph energy (0 for the lowest one): 0 meV/atom
Fermi-level density of states: 5.8 states/eV/cell

=====

Tb2Dy5Ho4 | GGA-PBE | optimized geometry

```
Tb2Dy5Ho4
1.0
-3.013 1.295 1.298
-0.965 -3.060 -8.776
-2.900 -8.960 6.965
Ho Dy Tb
4 5 2
direct
0.318 0.364 0.091
0.682 0.636 0.909
0.227 0.546 0.636
0.773 0.454 0.364
0.955 0.091 0.273
0.410 0.182 0.545
0.045 0.909 0.727
0.590 0.818 0.455
0.500 0.000 0.000
0.137 0.727 0.182
0.863 0.273 0.818
```

Values from the calculation:
spin magnetization: 0.00 μB per formula unit
polymorph energy (0 for the lowest one): 0 meV/atom
Fermi-level density of states: 14.1 states/eV/cell

=====

| no. | energy of formation from the pure elements (kcal/mol of atoms) | energy (eV per atom) |
| --- | --- | --- |
| 1 | -9.43 | -6.719 |
| 2 | 3.49 | -5.800 |
| 3 | 0.40 | -4.581 |